Crystalline TiZnPt at its relaxed geometry, computed with PBE.

POSCAR file:
```
TiZnPt
1.0
3.3539 0.0198 0.2924
0.0039 2.8301 -0.2371
-0.8493 -2.0223 9.8746
Ti Pt Zn
2 2 2
direct
0.7146 0.3768 0.0308
0.7147 0.0324 0.6851
0.2145 0.7066 0.8596
0.2146 0.0348 0.1889
0.2149 0.3553 0.5080
0.7149 0.7000 0.3535
```

Computed properties:
The calculation puts the calculated density at 11.0 g/cm³. The value obtained for the formation energy is -0.58 eV/atom. As for the crystal system: orthorhombic. Its space group is Pmm2, No. 25. The final energy is -5.649 eV per atom.